Density functional theory data (GGA-PBE) for a relaxed MgCu3 crystal.

The structure in CIF format:
```
data_MgCu3
_space_group_name_H-M_alt 'P -6 m 2'
_space_group_IT_number 187
_space_group_name_Hall 'P -6 2'
_cell_length_a 2.7380
_cell_length_b 2.7380
_cell_length_c 8.4829
_cell_angle_alpha 90.00
_cell_angle_beta 90.00
_cell_angle_gamma 120.00
loop_
_atom_site_label
_atom_site_fract_x
_atom_site_fract_y
_atom_site_fract_z
_atom_site_occupancy
Mg1 0.0000 0.0000 0.0000 1
Cu1 0.0000 0.0000 0.5000 1
Cu2 0.6667 0.3333 0.2629 1
```

Summary:
energy: -3.36 eV per atom



Density functional theory data (GGA-PBE) for a relaxed Mg3Cu crystal.

The structure in CIF format:
```
data_Mg3Cu
_space_group_name_H-M_alt 'P m m n'
_space_group_IT_number 59
_cell_length_a 4.725
_cell_length_b 6.130
_cell_length_c 5.168
_cell_angle_alpha 90.00
_cell_angle_beta 90.00
_cell_angle_gamma 90.00
loop_
_space_group_symop_operation_xyz
'x,y,z'
'-x,-y,-z'
'-x+1/2,-y+1/2,z'
'x+1/2,y+1/2,-z'
'x+1/2,-y,-z'
'-x+1/2,y,z'
'-x,y+1/2,-z'
'x,-y+1/2,z'
loop_
_atom_site_label
_atom_site_fract_x
_atom_site_fract_y
_atom_site_fract_z
_atom_site_occupancy
Mg1 0.250 0.000 0.174 1
Mg2 0.250 0.250 0.643 1
Cu1 0.250 0.750 0.684 1
```

Summary:
energy: -2.23 eV per atom



Density functional theory data (GGA-PBE) for a relaxed Mg4Cu3 crystal.

The structure in CIF format:
```
data_Mg4Cu3
_space_group_name_H-M_alt 'P 6/m m m'
_space_group_IT_number 191
_space_group_name_Hall '-P 6 2'
_cell_length_a 5.0744
_cell_length_b 5.0744
_cell_length_c 5.2617
_cell_angle_alpha 90.00
_cell_angle_beta 90.00
_cell_angle_gamma 120.00
loop_
_atom_site_label
_atom_site_fract_x
_atom_site_fract_y
_atom_site_fract_z
_atom_site_occupancy
Mg1 0.0000 0.0000 0.2456 1
Mg2 0.3333 0.6667 0.5000 1
Cu1 0.0000 0.5000 0.0000 1
```

Summary:
energy: -2.73 eV per atom
E above lowest polymorph: 0 meV/atom



Density functional theory data (GGA-PBE) for a relaxed Mg4Cu5 crystal.

The structure in CIF format:
```
data_Mg4Cu5
_space_group_name_H-M_alt 'I 4/m m m'
_space_group_IT_number 139
_space_group_name_Hall '-I 4 2'
_cell_length_a 8.272
_cell_length_b 8.272
_cell_length_c 4.058
_cell_angle_alpha 90.00
_cell_angle_beta 90.00
_cell_angle_gamma 90.00
loop_
_atom_site_label
_atom_site_fract_x
_atom_site_fract_y
_atom_site_fract_z
_atom_site_occupancy
Mg1 0.000 0.309 0.000 1
Cu1 0.000 0.000 0.000 1
Cu2 0.158 0.158 0.500 1
```

Summary:
energy: -3.02 eV per atom
E above lowest polymorph: 0 meV/atom



Density functional theory data (GGA-PBE) for a relaxed MgCu3 crystal.

The structure in CIF format:
```
data_MgCu3
_space_group_name_H-M_alt 'P m -3 n'
_space_group_IT_number 223
_space_group_name_Hall '-P 4n 2 3'
_cell_length_a 4.791
_cell_length_b 4.791
_cell_length_c 4.791
_cell_angle_alpha 90.00
_cell_angle_beta 90.00
_cell_angle_gamma 90.00
loop_
_atom_site_label
_atom_site_fract_x
_atom_site_fract_y
_atom_site_fract_z
_atom_site_occupancy
Mg1 0.000 0.000 0.000 1
Cu1 0.000 0.250 0.500 1
```

Summary:
energy: -3.45 eV per atom



Density functional theory data (GGA-PBE) for a relaxed Mg2Cu crystal.

The structure in CIF format:
```
data_Mg2Cu
_space_group_name_H-M_alt 'R 3 m'
_space_group_IT_number 160
_space_group_name_Hall 'R 3 -2"'
_cell_length_a 3.0644
_cell_length_b 3.0644
_cell_length_c 20.3876
_cell_angle_alpha 90.00
_cell_angle_beta 90.00
_cell_angle_gamma 120.00
loop_
_atom_site_label
_atom_site_fract_x
_atom_site_fract_y
_atom_site_fract_z
_atom_site_occupancy
Mg1 0.0000 0.0000 0.0000 1
Mg2 0.0000 0.0000 0.2020 1
Cu1 0.0000 0.0000 0.7679 1
```

Summary:
energy: -2.39 eV per atom



We obtain calculated formation energy values of 109.5 -8.9 -64.8 -35.9 19.5 39.8 meV per atom for the records listed above, in that order.